# 1
Material: ZnAs2
Method: DFT, PBE
State: optimized geometry

Geometry as CIF:
```
data_ZnAs2
_chemical_formula_sum 'Zn2 As4'
_cell_length_a 5.296
_cell_length_b 5.296
_cell_length_c 5.296
_cell_angle_alpha 107.35
_cell_angle_beta 107.35
_cell_angle_gamma 113.81
_space_group_name_H-M_alt 'P 1'
_space_group_IT_number 1
_space_group_name_Hall 'P 1'
loop_
_atom_site_label
_atom_site_fract_x
_atom_site_fract_y
_atom_site_fract_z
Zn1 0.750 0.750 0.000
Zn2 0.250 0.250 0.000
As1 0.137 0.363 0.500
As2 0.863 0.637 0.500
As3 0.637 0.137 0.774
As4 0.363 0.863 0.226
```

Its energy of formation is 0.258 eV/atom. The value obtained for the density of states at the Fermi level is 0.5292 states/eV/atom. Its space group is I4/mcm, No. 140.

=====

# 2
Material: Er6CoAu2
Method: DFT, PBE
State: optimized geometry

Geometry as CIF:
```
data_Er6CoAu2
_chemical_formula_sum 'Er12 Co2 Au4'
_cell_length_a 6.640
_cell_length_b 7.250
_cell_length_c 9.752
_cell_angle_alpha 90.00
_cell_angle_beta 88.28
_cell_angle_gamma 90.00
_space_group_name_H-M_alt 'P 1'
_space_group_IT_number 1
_space_group_name_Hall 'P 1'
loop_
_atom_site_label
_atom_site_fract_x
_atom_site_fract_y
_atom_site_fract_z
Er1 0.873 0.979 0.250
Er2 0.820 0.689 0.557
Er3 0.830 0.682 0.940
Er4 0.670 0.182 0.560
Er5 0.680 0.189 0.943
Er6 0.627 0.479 0.250
Er7 0.127 0.021 0.750
Er8 0.180 0.311 0.443
Er9 0.170 0.318 0.060
Er10 0.330 0.818 0.440
Er11 0.320 0.811 0.057
Er12 0.373 0.521 0.750
Co1 0.500 0.500 0.000
Co2 0.000 0.000 0.500
Au1 0.953 0.393 0.747
Au2 0.547 0.893 0.753
Au3 0.453 0.107 0.247
Au4 0.047 0.607 0.253
```

Its energy of formation is -0.450 eV/atom. The value obtained for the density of states at the Fermi level is 1.0218 states/eV/atom. Its space group is P2_1/c, No. 14.

=====

# 3
Material: LaTh2Zn3
Method: DFT, PBE
State: optimized geometry

Geometry as CIF:
```
data_LaTh2Zn3
_chemical_formula_sum 'La1 Th2 Zn3'
_cell_length_a 3.699
_cell_length_b 3.699
_cell_length_c 11.051
_cell_angle_alpha 90.00
_cell_angle_beta 90.00
_cell_angle_gamma 90.00
_space_group_name_H-M_alt 'P 1'
_space_group_IT_number 1
_space_group_name_Hall 'P 1'
loop_
_atom_site_label
_atom_site_fract_x
_atom_site_fract_y
_atom_site_fract_z
La1 0.500 0.500 0.500
Th1 0.500 0.500 0.836
Th2 0.500 0.500 0.164
Zn1 0.000 0.000 0.000
Zn2 0.000 0.000 0.673
Zn3 0.000 0.000 0.327
```

Its energy of formation is -0.223 eV/atom. The value obtained for the density of states at the Fermi level is 0.7638 states/eV/atom. Its space group is P4/mmm, No. 123.

=====

# 4
Material: LaPu2US8
Method: DFT, PBE
State: optimized geometry

Geometry as CIF:
```
data_LaPu2US8
_chemical_formula_sum 'La1 Pu2 U1 S8'
_cell_length_a 6.266
_cell_length_b 6.206
_cell_length_c 8.345
_cell_angle_alpha 90.00
_cell_angle_beta 90.00
_cell_angle_gamma 90.52
_space_group_name_H-M_alt 'P 1'
_space_group_IT_number 1
_space_group_name_Hall 'P 1'
loop_
_atom_site_label
_atom_site_fract_x
_atom_site_fract_y
_atom_site_fract_z
La1 0.000 0.000 0.500
Pu1 0.500 0.500 0.752
Pu2 0.500 0.500 0.248
U1 0.000 0.000 0.000
S1 0.154 0.769 0.225
S2 0.666 0.734 0.000
S3 0.846 0.231 0.225
S4 0.846 0.231 0.775
S5 0.334 0.266 0.000
S6 0.154 0.769 0.775
S7 0.630 0.728 0.500
S8 0.370 0.272 0.500
```

The value obtained for the density of states at the Fermi level is 1.7616 states/eV/atom. As for the formation energy from raw total energies: -1.428 eV per atom. Its space group is P2/m, No. 10.

=====

# 5
Material: CaSi2Ni
Method: DFT, PBE
State: optimized geometry

Geometry as CIF:
```
data_CaSi2Ni
_chemical_formula_sum 'Ca1 Si2 Ni1'
_cell_length_a 3.902
_cell_length_b 3.902
_cell_length_c 5.912
_cell_angle_alpha 70.76
_cell_angle_beta 70.76
_cell_angle_gamma 59.98
_space_group_name_H-M_alt 'P 1'
_space_group_IT_number 1
_space_group_name_Hall 'P 1'
loop_
_atom_site_label
_atom_site_fract_x
_atom_site_fract_y
_atom_site_fract_z
Ni1 0.321 0.321 0.038
Ca1 0.505 0.505 0.485
Si1 0.965 0.965 0.105
Si2 0.709 0.709 0.871
```

The value obtained for the density of states at the Fermi level is 0.4064 states/eV/atom. As for the formation energy from raw total energies: -0.515 eV per atom. Its space group is R3m, No. 160.

=====

# 6
Material: CeSc3Zn4
Method: DFT, PBE
State: optimized geometry

Geometry as CIF:
```
data_CeSc3Zn4
_chemical_formula_sum 'Ce2 Sc6 Zn8'
_cell_length_a 4.829
_cell_length_b 6.920
_cell_length_c 9.657
_cell_angle_alpha 90.00
_cell_angle_beta 90.00
_cell_angle_gamma 90.00
_space_group_name_H-M_alt 'P 1'
_space_group_IT_number 1
_space_group_name_Hall 'P 1'
loop_
_atom_site_label
_atom_site_fract_x
_atom_site_fract_y
_atom_site_fract_z
Sc1 0.000 0.000 0.000
Sc2 0.000 0.000 0.500
Sc3 0.500 0.000 0.750
Sc4 0.500 0.000 0.250
Sc5 0.500 0.500 0.750
Sc6 0.500 0.500 0.250
Zn1 0.500 0.771 0.000
Zn2 0.500 0.771 0.500
Zn3 0.500 0.229 0.000
Zn4 0.500 0.229 0.500
Zn5 0.000 0.771 0.750
Zn6 0.000 0.771 0.250
Zn7 0.000 0.229 0.250
Zn8 0.000 0.229 0.750
Ce1 0.000 0.500 0.000
Ce2 0.000 0.500 0.500
```

Its energy of formation is -0.285 eV/atom. The value obtained for the density of states at the Fermi level is 1.6344 states/eV/atom. Its space group is P4/mmm, No. 123.

=====

# 7
Material: Rb3CdTc2O8
Method: DFT, PBE
State: optimized geometry

Geometry as CIF:
```
data_Rb3CdTc2O8
_chemical_formula_sum 'Rb3 Cd1 Tc2 O8'
_cell_length_a 6.141
_cell_length_b 6.141
_cell_length_c 8.048
_cell_angle_alpha 90.00
_cell_angle_beta 90.00
_cell_angle_gamma 120.00
_space_group_name_H-M_alt 'P 1'
_space_group_IT_number 1
_space_group_name_Hall 'P 1'
loop_
_atom_site_label
_atom_site_fract_x
_atom_site_fract_y
_atom_site_fract_z
Rb1 0.333 0.667 0.669
Rb2 0.667 0.333 0.331
Rb3 0.000 0.000 0.000
Cd1 0.000 0.000 0.500
Tc1 0.333 0.667 0.232
Tc2 0.667 0.333 0.768
O1 0.333 0.667 0.013
O2 0.667 0.333 0.987
O3 0.173 0.827 0.318
O4 0.827 0.173 0.682
O5 0.173 0.346 0.318
O6 0.827 0.654 0.682
O7 0.654 0.827 0.318
O8 0.346 0.173 0.682
```

The value obtained for the density of states at the Fermi level is 0.6425 states/eV/atom. As for the formation energy from raw total energies: -1.472 eV per atom. Its space group is P-3m1, No. 164.

=====

# 8
Material: ErPu3S4
Method: DFT, PBE
State: optimized geometry

Geometry as CIF:
```
data_ErPu3S4
_chemical_formula_sum 'Er1 Pu3 S4'
_cell_length_a 3.936
_cell_length_b 6.821
_cell_length_c 6.821
_cell_angle_alpha 109.37
_cell_angle_beta 90.00
_cell_angle_gamma 90.00
_space_group_name_H-M_alt 'P 1'
_space_group_IT_number 1
_space_group_name_Hall 'P 1'
loop_
_atom_site_label
_atom_site_fract_x
_atom_site_fract_y
_atom_site_fract_z
S1 0.000 0.246 0.246
S2 0.500 0.752 0.248
S3 0.000 0.754 0.754
S4 0.500 0.248 0.752
Pu1 0.000 0.000 0.500
Pu2 0.500 0.500 0.500
Pu3 0.000 0.500 0.000
Er1 0.500 0.000 0.000
```

The value obtained for the density of states at the Fermi level is 3.0898 states/eV/atom. As for the formation energy from raw total energies: -1.826 eV per atom. Its space group is Cmmm, No. 65.

=====

# 9
Material: Sr3LiRh
Method: DFT, PBE
State: optimized geometry

Geometry as CIF:
```
data_Sr3LiRh
_chemical_formula_sum 'Sr6 Li2 Rh2'
_cell_length_a 7.547
_cell_length_b 11.613
_cell_length_c 4.311
_cell_angle_alpha 90.02
_cell_angle_beta 73.45
_cell_angle_gamma 104.16
_space_group_name_H-M_alt 'P 1'
_space_group_IT_number 1
_space_group_name_Hall 'P 1'
loop_
_atom_site_label
_atom_site_fract_x
_atom_site_fract_y
_atom_site_fract_z
Sr1 0.099 0.934 0.216
Sr2 0.891 0.654 0.820
Sr3 0.517 0.775 0.506
Sr4 0.556 0.409 0.487
Sr5 0.696 0.105 0.417
Sr6 0.080 0.414 0.226
Rh1 0.780 0.324 0.875
Rh2 0.801 0.911 0.865
Li1 0.405 0.204 0.062
Li2 0.055 0.164 0.738
```

Its energy of formation is -0.127 eV/atom. The value obtained for the density of states at the Fermi level is 0.5995 states/eV/atom. Its space group is Cm, No. 8.

=====

# 10
Material: MnAlSe
Method: DFT, PBE
State: optimized geometry

Geometry as CIF:
```
data_MnAlSe
_chemical_formula_sum 'Mn2 Al2 Se2'
_cell_length_a 3.149
_cell_length_b 3.150
_cell_length_c 11.402
_cell_angle_alpha 90.00
_cell_angle_beta 90.00
_cell_angle_gamma 120.00
_space_group_name_H-M_alt 'P 1'
_space_group_IT_number 1
_space_group_name_Hall 'P 1'
loop_
_atom_site_label
_atom_site_fract_x
_atom_site_fract_y
_atom_site_fract_z
Mn1 0.445 0.890 0.000
Mn2 0.444 0.888 0.500
Al1 0.777 0.555 0.339
Al2 0.777 0.555 0.661
Se1 0.112 0.223 0.856
Se2 0.112 0.223 0.144
```

The value obtained for the density of states at the Fermi level is 0.6933 states/eV/atom. As for the formation energy from raw total energies: -0.053 eV per atom. Its space group is P-6m2, No. 187.

=====

# 11
Material: Pr3Er
Method: DFT, PBE
State: optimized geometry

Geometry as CIF:
```
data_Pr3Er
_chemical_formula_sum 'Pr3 Er1'
_cell_length_a 5.823
_cell_length_b 5.823
_cell_length_c 5.823
_cell_angle_alpha 60.00
_cell_angle_beta 60.00
_cell_angle_gamma 60.00
_space_group_name_H-M_alt 'P 1'
_space_group_IT_number 1
_space_group_name_Hall 'P 1'
loop_
_atom_site_label
_atom_site_fract_x
_atom_site_fract_y
_atom_site_fract_z
Pr1 0.000 0.000 0.000
Pr2 0.750 0.750 0.750
Pr3 0.250 0.250 0.250
Er1 0.500 0.500 0.500
```

Its energy of formation is 0.128 eV/atom. The value obtained for the density of states at the Fermi level is 2.4355 states/eV/atom. Its space group is Fm-3m, No. 225.

=====

# 12
Material: Ni3Pt6Rh2
Method: DFT, PBE
State: optimized geometry

Geometry as CIF:
```
data_Ni3Pt6Rh2
_chemical_formula_sum 'Ni3 Pt6 Rh2'
_cell_length_a 4.724
_cell_length_b 7.240
_cell_length_c 11.906
_cell_angle_alpha 46.04
_cell_angle_beta 70.87
_cell_angle_gamma 109.36
_space_group_name_H-M_alt 'P 1'
_space_group_IT_number 1
_space_group_name_Hall 'P 1'
loop_
_atom_site_label
_atom_site_fract_x
_atom_site_fract_y
_atom_site_fract_z
Ni1 0.000 0.000 0.000
Ni2 0.734 0.096 0.180
Ni3 0.266 0.904 0.820
Pt1 0.523 0.797 0.651
Pt2 0.891 0.352 0.732
Pt3 0.477 0.203 0.349
Pt4 0.109 0.648 0.268
Pt5 0.817 0.727 0.454
Pt6 0.183 0.273 0.546
Rh1 0.371 0.552 0.085
Rh2 0.629 0.448 0.915
```

Its energy of formation is -0.033 eV/atom. The value obtained for the density of states at the Fermi level is 1.6855 states/eV/atom. Its space group is P-1, No. 2.